TmPa2P3 | Alexandria | GGA-PBE | optimized geometry; V = 21.90 Å³/atom; symmetry = Pnma; formation energy from the elements = -1.41 eV per atom; raw total energy = -8.025 eV/atom; ρ = 9.147 Mg/m³
1.0
5.603 -0.009 0.000
0.013 7.916 0.000
0.000 0.000 11.854
Tm Pa P
4 8 12
Direct
0.250 0.876 0.082
0.250 0.376 0.418
0.750 0.624 0.582
0.750 0.124 0.918
0.250 0.875 0.750
0.250 0.375 0.750
0.250 0.875 0.417
0.250 0.375 0.083
0.750 0.625 0.917
0.750 0.125 0.583
0.750 0.625 0.250
0.750 0.125 0.250
0.250 0.625 0.583
0.250 0.125 0.917
0.250 0.627 0.917
0.250 0.127 0.583
0.250 0.625 0.250
0.250 0.125 0.250
0.750 0.875 0.750
0.750 0.375 0.750
0.750 0.873 0.417
0.750 0.373 0.083
0.750 0.875 0.083
0.750 0.375 0.417